FeWSe: relaxed, PBE.

```
FeWSe
1.0
-6.5742 1.1270 -0.6960
-6.2943 -1.3473 0.7127
-0.6707 2.1529 1.7609
Se Fe W
1 1 1
Cartesian
-4.7472 1.3598 1.1780 Se
-0.7723 2.1331 1.7464 Fe
-8.6904 0.5926 0.6142 W
```

Results
Symmetry = Fmm2
E above lowest polymorph = 0.2367 eV per atom
M_tot = 2.37 μB/cell
Energy relative to the elements, uncorrected = 0.56 eV per atom